Entry 1:
ReIr2Ru at its PBEsol-relaxed geometry. Source: the Alexandria database, functional meta-GGA SCAN.

Calculated values
Fermi-level density of states = 3.07 states/eV per cell
Energy relative to the elements = -13.7 kJ per mole of atoms
Magnetization = 0.1 Bohr magnetons per cell
Total DFT energy (no corrections) = -248.688 eV per cell

Unit cell a=3.809 b=3.809 c=3.844 alpha=90.00 beta=90.00 gamma=90.00
Space group P4/mmm (No. 123)
Inequivalent atoms, fractional coordinates:
Re  0.000  0.000  0.000 x1
Ir  0.000  0.500  0.500 x2
Ru  0.500  0.500  0.000 x1


Entry 2:
ReIrRu at its PBEsol-relaxed geometry. Source: the Alexandria database, functional meta-GGA SCAN.

Calculated values
Fermi-level density of states = 3.51 states/eV per cell
Energy relative to the elements = 9.1 kJ per mole of atoms
Magnetization = 0.0 Bohr magnetons per cell
Total DFT energy (no corrections) = -176.741 eV per cell
Energy relative to the lowest polymorph listed for this composition = 157 meV per atom

Unit cell a=4.2750 b=4.2750 c=2.7024 alpha=90.00 beta=90.00 gamma=120.00
Space group P-6m2 (No. 187)
Inequivalent atoms, fractional coordinates:
Re  0.0000  0.0000  0.0000 x1
Ir  0.3333  0.6667  0.5000 x1
Ru  0.6667  0.3333  0.0000 x1


Entry 3:
ReIrRu2 at its PBEsol-relaxed geometry. Source: the Alexandria database, functional meta-GGA SCAN.

Calculated values
Fermi-level density of states = 3.74 states/eV per cell
Energy relative to the elements = -7.3 kJ per mole of atoms
Magnetization = 0.0 Bohr magnetons per cell
Total DFT energy (no corrections) = -212.151 eV per cell

Unit cell a=3.812 b=3.812 c=3.793 alpha=90.00 beta=90.00 gamma=90.00
Space group P4/mmm (No. 123)
Inequivalent atoms, fractional coordinates:
Re  0.000  0.000  0.000 x1
Ir  0.500  0.500  0.000 x1
Ru  0.000  0.500  0.500 x2


Entry 4:
ReIr2Ru at its PBEsol-relaxed geometry. Source: the Alexandria database, functional meta-GGA SCAN.

Calculated values
Fermi-level density of states = 3.16 states/eV per cell
Energy relative to the elements = -9.6 kJ per mole of atoms
Magnetization = 0.0 Bohr magnetons per cell
Total DFT energy (no corrections) = -248.519 eV per cell

Unit cell a=2.693 b=3.836 c=5.409 alpha=90.00 beta=90.00 gamma=90.00
Space group Pmm2 (No. 25)
Inequivalent atoms, fractional coordinates:
Re  0.000  0.000  0.000 x1
Ir  0.000  0.000  0.493 x1
Ir  0.500  0.500  0.753 x1
Ru  0.500  0.500  0.250 x1


Entry 5:
ReIrRu at its PBEsol-relaxed geometry. Source: the Alexandria database, functional meta-GGA SCAN.

Calculated values
Fermi-level density of states = 1.97 states/eV per cell
Energy relative to the elements = -6.0 kJ per mole of atoms
Magnetization = 0.0 Bohr magnetons per cell
Total DFT energy (no corrections) = -177.211 eV per cell
Energy relative to the lowest polymorph listed for this composition = 0 meV per atom

Unit cell a=2.7043 b=2.7043 c=6.6334 alpha=90.00 beta=90.00 gamma=120.00
Space group P3m1 (No. 156)
Inequivalent atoms, fractional coordinates:
Re  0.0000  0.0000  0.0000 x1
Ir  0.3333  0.6667  0.3366 x1
Ru  0.6667  0.3333  0.6775 x1


Entry 6:
ReIr2Ru at its PBEsol-relaxed geometry. Source: the Alexandria database, functional meta-GGA SCAN.

Calculated values
Fermi-level density of states = 13.34 states/eV per cell
Energy relative to the elements = 48.4 kJ per mole of atoms
Magnetization = 3.4 Bohr magnetons per cell
Total DFT energy (no corrections) = -984.469 eV per cell

Unit cell a=6.124 b=6.124 c=6.124 alpha=90.00 beta=90.00 gamma=90.00
Space group F-43m (No. 216)
Inequivalent atoms, fractional coordinates:
Re  0.000  0.000  0.000 x4
Ir  0.000  0.000  0.500 x4
Ir  0.250  0.250  0.250 x4
Ru  0.250  0.250  0.750 x4


Entry 7:
ReIrRu2 at its PBEsol-relaxed geometry. Source: the Alexandria database, functional meta-GGA SCAN.

Calculated values
Fermi-level density of states = 10.91 states/eV per cell
Energy relative to the elements = 0.0 kJ per mole of atoms
Magnetization = 0.0 Bohr magnetons per cell
Total DFT energy (no corrections) = -635.544 eV per cell

Unit cell a=2.6932 b=2.6932 c=26.4267 alpha=90.00 beta=90.00 gamma=120.00
Space group R-3m (No. 166, hexagonal axes)
Inequivalent atoms, fractional coordinates:
Re  0.0000  0.0000  0.0000 x3
Ir  0.0000  0.0000  0.5000 x3
Ru  0.0000  0.0000  0.2505 x6


Entry 8:
ReIr2Ru at its PBEsol-relaxed geometry. Source: the Alexandria database, functional meta-GGA SCAN.

Calculated values
Fermi-level density of states = 5.51 states/eV per cell
Energy relative to the elements = -11.8 kJ per mole of atoms
Magnetization = 0.0 Bohr magnetons per cell
Total DFT energy (no corrections) = -497.222 eV per cell

Unit cell a=3.840 b=3.840 c=7.568 alpha=90.00 beta=90.00 gamma=90.00
Space group I-4m2 (No. 119)
Inequivalent atoms, fractional coordinates:
Re  0.000  0.000  0.000 x2
Ir  0.000  0.000  0.500 x2
Ir  0.000  0.500  0.250 x2
Ru  0.000  0.500  0.750 x2


Entry 9:
ReIrRu2 at its PBEsol-relaxed geometry. Source: the Alexandria database, functional meta-GGA SCAN.

Calculated values
Fermi-level density of states = 6.32 states/eV per cell
Energy relative to the elements = -7.2 kJ per mole of atoms
Magnetization = 0.0 Bohr magnetons per cell
Total DFT energy (no corrections) = -424.296 eV per cell

Unit cell a=3.815 b=3.815 c=7.575 alpha=90.00 beta=90.00 gamma=90.00
Space group I-4m2 (No. 119)
Inequivalent atoms, fractional coordinates:
Re  0.000  0.000  0.000 x2
Ir  0.000  0.500  0.250 x2
Ru  0.000  0.000  0.500 x2
Ru  0.000  0.500  0.750 x2


Entry 10:
ReIr2Ru at its PBEsol-relaxed geometry. Source: the Alexandria database, functional meta-GGA SCAN.

Calculated values
Fermi-level density of states = 2.60 states/eV per cell
Energy relative to the elements = -14.0 kJ per mole of atoms
Magnetization = 0.0 Bohr magnetons per cell
Total DFT energy (no corrections) = -248.702 eV per cell

Unit cell a=2.689 b=3.854 c=5.382 alpha=90.00 beta=90.00 gamma=90.00
Space group Pmmm (No. 47)
Inequivalent atoms, fractional coordinates:
Re  0.000  0.000  0.000 x1
Ir  0.500  0.500  0.251 x2
Ru  0.000  0.000  0.500 x1


Entry 11:
ZrRe2IrS at its PBEsol-relaxed geometry. Source: the Alexandria database, functional meta-GGA SCAN.

Calculated values
Fermi-level density of states = 6.41 states/eV per cell
Raw formation energy = 2.59 eV/atom
Magnetization = 2.4 Bohr magnetons per cell
Total DFT energy (no corrections) = -240.692 eV per cell

Unit cell a=4.689 b=4.689 c=4.565 alpha=90.00 beta=90.00 gamma=90.00
Space group P4/mmm (No. 123)
Inequivalent atoms, fractional coordinates:
Zr  0.000  0.000  0.000 x1
Re  0.000  0.500  0.000 x2
Ir  0.500  0.500  0.500 x1
S  0.000  0.000  0.500 x1


Entry 12:
ReSb2Ir at its PBEsol-relaxed geometry. Source: the Alexandria database, functional meta-GGA SCAN.

Calculated values
Fermi-level density of states = 3.99 states/eV per cell
Raw formation energy = 0.70 eV/atom
Magnetization = 0.0 Bohr magnetons per cell
Total DFT energy (no corrections) = -427.803 eV per cell
Energy relative to the lowest polymorph listed for this composition = 421 meV per atom

Unit cell a=3.330 b=4.368 c=9.970 alpha=90.00 beta=90.00 gamma=90.00
Space group Imm2 (No. 44)
Inequivalent atoms, fractional coordinates:
Re  0.000  0.000  0.000 x2
Sb  0.000  0.000  0.497 x2
Sb  0.000  0.500  0.726 x2
Ir  0.000  0.500  0.217 x2


Entry 13:
ReSb2Ir at its PBEsol-relaxed geometry. Source: the Alexandria database, functional meta-GGA SCAN.

Calculated values
Fermi-level density of states = 2.64 states/eV per cell
Raw formation energy = 0.28 eV/atom
Magnetization = 0.0 Bohr magnetons per cell
Total DFT energy (no corrections) = -215.584 eV per cell
Energy relative to the lowest polymorph listed for this composition = 0 meV per atom

Unit cell a=2.970 b=2.970 c=9.147 alpha=90.00 beta=90.00 gamma=90.00
Space group P4mm (No. 99)
Inequivalent atoms, fractional coordinates:
Re  0.000  0.000  0.000 x1
Sb  0.000  0.000  0.594 x1
Sb  0.500  0.500  0.213 x1
Ir  0.500  0.500  0.822 x1


Entry 14:
Sc2ReIr at its PBEsol-relaxed geometry. Source: the Alexandria database, functional meta-GGA SCAN.

Calculated values
Fermi-level density of states = 3.36 states/eV per cell
Energy relative to the elements = -27.9 kJ per mole of atoms
Magnetization = 0.0 Bohr magnetons per cell
Total DFT energy (no corrections) = -171.826 eV per cell

Unit cell a=3.148 b=4.304 c=4.799 alpha=90.00 beta=90.00 gamma=90.00
Space group Pmmm (No. 47)
Inequivalent atoms, fractional coordinates:
Sc  0.000  0.000  0.000 x1
Sc  0.500  0.000  0.500 x1
Re  0.000  0.500  0.500 x1
Ir  0.500  0.500  0.000 x1


Entry 15:
Sc2ReIr at its PBEsol-relaxed geometry. Source: the Alexandria database, functional meta-GGA SCAN.

Calculated values
Fermi-level density of states = 14.58 states/eV per cell
Energy relative to the elements = -28.7 kJ per mole of atoms
Magnetization = 0.0 Bohr magnetons per cell
Total DFT energy (no corrections) = -687.435 eV per cell

Unit cell a=6.363 b=6.363 c=6.363 alpha=90.00 beta=90.00 gamma=90.00
Space group F-43m (No. 216)
Inequivalent atoms, fractional coordinates:
Sc  0.000  0.000  0.000 x4
Sc  0.250  0.250  0.250 x4
Re  0.250  0.250  0.750 x4
Ir  0.000  0.000  0.500 x4


Entry 16:
Sc2ReIr at its PBEsol-relaxed geometry. Source: the Alexandria database, functional meta-GGA SCAN.

Calculated values
Fermi-level density of states = 3.55 states/eV per cell
Energy relative to the elements = -4.1 kJ per mole of atoms
Magnetization = 0.0 Bohr magnetons per cell
Total DFT energy (no corrections) = -170.840 eV per cell

Unit cell a=3.405 b=3.405 c=5.954 alpha=90.00 beta=90.00 gamma=90.00
Space group P4mm (No. 99)
Inequivalent atoms, fractional coordinates:
Sc  0.000  0.000  0.000 x1
Sc  0.500  0.500  0.321 x1
Re  0.500  0.500  0.785 x1
Ir  0.000  0.000  0.527 x1


Entry 17:
Re2IrSe2 at its PBEsol-relaxed geometry. Source: the Alexandria database, functional meta-GGA SCAN.

Calculated values
Fermi-level density of states = 4.52 states/eV per cell
Raw formation energy = 0.81 eV/atom
Magnetization = 0.0 Bohr magnetons per cell
Total DFT energy (no corrections) = -498.823 eV per cell

Unit cell a=3.806 b=3.806 c=11.300 alpha=90.00 beta=90.00 gamma=90.00
Space group I4/mmm (No. 139)
Inequivalent atoms, fractional coordinates:
Re  0.000  0.000  0.108 x4
Ir  0.000  0.000  0.500 x2
Se  0.000  0.500  0.250 x4


Entry 18:
ReIr2Se at its PBEsol-relaxed geometry. Source: the Alexandria database, functional meta-GGA SCAN.

Calculated values
Fermi-level density of states = 5.68 states/eV per cell
Raw formation energy = 0.63 eV/atom
Magnetization = 0.0 Bohr magnetons per cell
Total DFT energy (no corrections) = -461.736 eV per cell

Unit cell a=4.086 b=4.086 c=7.056 alpha=90.00 beta=90.00 gamma=90.00
Space group I-4m2 (No. 119)
Inequivalent atoms, fractional coordinates:
Re  0.000  0.000  0.000 x2
Ir  0.000  0.000  0.500 x2
Ir  0.000  0.500  0.750 x2
Se  0.000  0.500  0.250 x2


Entry 19:
ReIrSe2 at its PBEsol-relaxed geometry. Source: the Alexandria database, functional meta-GGA SCAN.

Calculated values
Fermi-level density of states = 2.70 states/eV per cell
Raw formation energy = 0.26 eV/atom
Magnetization = 0.0 Bohr magnetons per cell
Total DFT energy (no corrections) = -362.599 eV per cell
Energy relative to the lowest polymorph listed for this composition = 0 meV per atom

Unit cell a=9.604 b=3.020 c=5.653 alpha=90.00 beta=96.90 gamma=90.00
Space group Cm (No. 8)
Inequivalent atoms, fractional coordinates:
Re  0.000  0.000  0.000 x2
Ir  0.222  0.500  0.010 x2
Se  0.064  0.500  0.331 x2
Se  0.335  0.000  0.731 x2


Entry 20:
ReIr2Se at its PBEsol-relaxed geometry. Source: the Alexandria database, functional meta-GGA SCAN.

Calculated values
Fermi-level density of states = 2.51 states/eV per cell
Raw formation energy = 0.33 eV/atom
Magnetization = 0.6 Bohr magnetons per cell
Total DFT energy (no corrections) = -232.041 eV per cell

Unit cell a=2.719 b=4.486 c=4.969 alpha=90.00 beta=90.00 gamma=90.00
Space group Pmm2 (No. 25)
Inequivalent atoms, fractional coordinates:
Re  0.000  0.000  0.000 x1
Ir  0.500  0.000  0.517 x1
Ir  0.500  0.500  0.859 x1
Se  0.500  0.500  0.341 x1